Compound: Er5ScBi4
Source: Alexandria via LeMat-Bulk
Functional: PBE
Structure: optimized geometry

For the total energy, the calculation gives -0.3652 Ry per atom. The calculated formation energy is -502 meV/atom. For the calculated volume, the calculation gives 31.5 Å³ per atom.

The structure belongs to space group C2/m (No. 12); the cell edges are 19.571, 4.323 and 7.595 Å and the angles 90.00°, 101.09° and 90.00°. The inequivalent atoms are Er at (0.000, 0.000, 0.000), Er at (0.188, 0.500, 0.586), Er at (0.195, 0.500, 0.115), Sc at (0.000, 0.000, 0.500), Bi at (0.059, 0.500, 0.288) and Bi at (0.133, 0.000, 0.822).


Compound: ErScBi2
Source: Alexandria via LeMat-Bulk
Functional: PBE
Structure: optimized geometry

For the total energy, the calculation gives -0.3967 Ry per atom. The calculated formation energy is -733 meV/atom. For the energy above the most stable polymorph in this dataset, the calculation gives 0 meV/atom. For the calculated volume, the calculation gives 29.3 Å³ per atom.

The structure belongs to space group R-3m (No. 166, hexagonal axes); the cell edges are 4.3568, 4.3568 and 21.3570 Å and the angles 90.00°, 90.00° and 120.00°. The inequivalent atoms are Er at (0.0000, 0.0000, 0.0000), Sc at (0.0000, 0.0000, 0.5000) and Bi at (0.0000, 0.0000, 0.2458).


Compound: Er3Sc5Bi2
Source: Alexandria via LeMat-Bulk
Functional: PBE
Structure: optimized geometry

For the total energy, the calculation gives -0.3945 Ry per atom. The calculated formation energy is -56 meV/atom. For the calculated volume, the calculation gives 27.9 Å³ per atom.

The structure belongs to space group Ibam (No. 72); the cell edges are 12.174, 14.826 and 6.176 Å and the angles 90.00°, 90.00° and 90.00°. The inequivalent atoms are Er at (0.000, 0.000, 0.250), Er at (0.128, 0.210, 0.000), Sc at (0.000, 0.500, 0.250), Sc at (0.088, 0.340, 0.500), Sc at (0.236, 0.500, 0.250) and Bi at (0.154, 0.151, 0.500).


Compound: Er3ScBi2
Source: Alexandria via LeMat-Bulk
Functional: PBE
Structure: optimized geometry

For the total energy, the calculation gives -0.3825 Ry per atom. The calculated formation energy is -574 meV/atom. For the energy above the most stable polymorph in this dataset, the calculation gives 0 meV/atom. For the calculated volume, the calculation gives 28.1 Å³ per atom.

The structure belongs to space group P-4m2 (No. 115); the cell edges are 4.471, 4.471 and 8.422 Å and the angles 90.00°, 90.00° and 90.00°. The inequivalent atoms are Er at (0.000, 0.000, 0.000), Er at (0.000, 0.500, 0.658), Sc at (0.500, 0.500, 0.000) and Bi at (0.000, 0.500, 0.280).


Compound: ErSc3Bi
Source: Alexandria via LeMat-Bulk
Functional: PBE
Structure: optimized geometry

For the total energy, the calculation gives -0.3974 Ry per atom. The calculated formation energy is 81 meV/atom. For the calculated volume, the calculation gives 29.8 Å³ per atom.

The structure belongs to space group R3c (No. 161, hexagonal axes); the cell edges are 7.9430, 7.9430 and 16.3518 Å and the angles 90.00°, 90.00° and 120.00°. The inequivalent atoms are Er at (0.0000, 0.0000, 0.0000), Sc at (0.1333, 0.4150, 0.3333) and Bi at (0.0000, 0.0000, 0.3109).


Compound: Er3ScBi2
Source: Alexandria via LeMat-Bulk
Functional: PBE
Structure: optimized geometry

For the total energy, the calculation gives -0.3663 Ry per atom. The calculated formation energy is -354 meV/atom. For the energy above the most stable polymorph in this dataset, the calculation gives 221 meV/atom. For the calculated volume, the calculation gives 31.2 Å³ per atom.

The structure belongs to space group C2/m (No. 12); the cell edges are 16.746, 4.247 and 11.839 Å and the angles 90.00°, 117.31° and 90.00°. The inequivalent atoms are Er at (0.055, 0.000, 0.220), Er at (0.113, 0.500, 0.019), Er at (0.243, 0.000, 0.650), Sc at (0.079, 0.500, 0.672), Bi at (0.117, 0.500, 0.451) and Bi at (0.163, 0.000, 0.856).